Below is a relaxed structure of Zr2AsAu, with properties calculated at the GGA-PBEsol level.

Computed properties:
**ΔE_f**: -0.77 eV per atom
**Crystal system**: trigonal
**Fermi-level density of states**: 1.8 states/eV/cell

a b c (Å): 3.719 3.719 7.164
angles (deg): 74.96 74.96 60.00
Fractional positions:
Au1 0.500 0.500 0.500
Zr1 0.257 0.257 0.229
Zr2 0.743 0.743 0.771
As1 0.000 0.000 0.000

Below is a relaxed structure of Ba2BAs, with properties calculated at the GGA-PBEsol level.

Computed properties:
**ΔE_f**: 0.16 eV per atom
**Crystal system**: cubic
**Fermi-level density of states**: 4.1 states/eV/cell

a b c (Å): 5.426 5.426 5.426
angles (deg): 60.00 60.00 60.00
Fractional positions:
B1 0.000 0.000 0.000
Ba1 0.250 0.250 0.250
As1 0.500 0.500 0.500
Ba2 0.750 0.750 0.750

Below is a relaxed structure of BaBAs3, with properties calculated at the GGA-PBEsol level.

Computed properties:
**ΔE_f**: 0.16 eV per atom
**Crystal system**: cubic
**Fermi-level density of states**: 4.4 states/eV/cell

a b c (Å): 4.680 4.680 4.680
angles (deg): 90.00 90.00 90.00
Fractional positions:
Ba1 0.500 0.500 0.500
As1 0.000 0.500 0.000
B1 0.000 0.000 0.000
As2 0.000 0.000 0.500
As3 0.500 0.000 0.000

Below is a relaxed structure of Ba2B2AsH3F18, with properties calculated at the GGA-PBEsol level.

Computed properties:
**Electronic total energy**: -279.1 eV/cell
**Crystal system**: hexagonal
**Fermi-level density of states**: 0.0 states/eV/cell

a b c (Å): 6.925 6.925 17.299
angles (deg): 90.00 90.00 120.00
Fractional positions:
F1 0.609 0.804 0.750
F2 0.112 0.556 0.363
B1 0.333 0.667 0.110
B2 0.333 0.667 0.390
F3 0.761 0.881 0.559
F4 0.119 0.881 0.559
F5 0.119 0.239 0.559
F6 0.881 0.761 0.059
F7 0.000 0.000 0.750
F8 0.444 0.556 0.137
F9 0.444 0.888 0.363
F10 0.239 0.119 0.059
F11 0.112 0.556 0.137
F12 0.556 0.112 0.637
F13 0.000 0.000 0.250
F14 0.556 0.444 0.863
F15 0.667 0.333 0.972
B3 0.667 0.333 0.890
F16 0.761 0.881 0.941
Ba1 0.667 0.333 0.124
F17 0.196 0.391 0.750
Ba2 0.333 0.667 0.624
F18 0.444 0.556 0.363
H1 0.110 0.220 0.750
F19 0.333 0.667 0.028
F20 0.556 0.444 0.637
F21 0.119 0.239 0.941
F22 0.333 0.667 0.472
F23 0.888 0.444 0.637
F24 0.888 0.444 0.863
F25 0.804 0.609 0.250
Ba3 0.333 0.667 0.876
F26 0.804 0.196 0.250
F27 0.881 0.119 0.441
H2 0.780 0.890 0.750
B4 0.667 0.333 0.610
H3 0.220 0.110 0.250
F28 0.667 0.333 0.528
F29 0.881 0.119 0.059
F30 0.881 0.761 0.441
F31 0.239 0.119 0.441
H4 0.890 0.780 0.250
H5 0.890 0.110 0.250
F32 0.444 0.888 0.137
F33 0.196 0.804 0.750
H6 0.110 0.890 0.750
Ba4 0.667 0.333 0.376
As1 0.000 0.000 0.500
F34 0.556 0.112 0.863
F35 0.119 0.881 0.941
F36 0.391 0.196 0.250
As2 0.000 0.000 0.000

Below is a relaxed structure of BaGaBAs2, with properties calculated at the GGA-PBEsol level.

Computed properties:
**ΔE_f**: 0.32 eV per atom
**Crystal system**: tetragonal
**Fermi-level density of states**: 2.1 states/eV/cell

a b c (Å): 4.512 4.512 5.319
angles (deg): 90.00 90.00 90.00
Fractional positions:
As1 0.500 0.000 0.000
Ga1 0.500 0.500 0.500
B1 0.000 0.000 0.000
Ba1 0.000 0.000 0.500
As2 0.000 0.500 0.000

Below is a relaxed structure of BaBAsO5, with properties calculated at the GGA-PBEsol level.

Computed properties:
**E_form (uncorrected)**: -2.2119 eV/atom
**Crystal system**: trigonal
**Fermi-level density of states**: 0.0 states/eV/cell

a b c (Å): 7.126 7.331 7.331
angles (deg): 120.00 90.00 90.00
Fractional positions:
O1 0.514 0.436 0.587
O2 0.521 0.324 0.178
As1 0.667 0.397 0.397
B1 0.500 0.097 0.000
O3 0.819 0.587 0.436
O4 0.812 0.178 0.324
B2 0.167 0.903 0.903
O5 0.152 0.564 0.151
O6 0.188 0.854 0.676
O7 0.000 0.027 0.000
Ba1 0.500 0.611 0.000
O8 0.848 0.413 0.849
O9 0.146 0.676 0.854
O10 0.479 0.146 0.822
Ba2 0.167 0.389 0.389
O11 0.181 0.151 0.564
Ba3 0.833 0.000 0.611
As2 0.333 0.000 0.603
O12 0.333 0.000 0.027
O13 0.486 0.849 0.413
B3 0.833 0.000 0.097
O14 0.667 0.973 0.973
O15 0.854 0.822 0.146
As3 0.000 0.603 0.000

Below is a relaxed structure of BeBAs2Se, with properties calculated at the GGA-PBEsol level.

Computed properties:
**E_form (uncorrected)**: 1.2035 eV/atom
**Crystal system**: tetragonal
**Fermi-level density of states**: 2.6 states/eV/cell

a b c (Å): 4.324 4.324 4.603
angles (deg): 90.00 90.00 90.00
Fractional positions:
As1 0.500 0.000 0.000
B1 0.500 0.500 0.500
As2 0.000 0.500 0.000
Se1 0.000 0.000 0.500
Be1 0.000 0.000 0.000

Below is a relaxed structure of BeSiB2As, with properties calculated at the GGA-PBEsol level.

Computed properties:
**E_form (uncorrected)**: 1.4165 eV/atom
**Crystal system**: tetragonal
**Fermi-level density of states**: 2.3 states/eV/cell

a b c (Å): 3.830 3.830 5.095
angles (deg): 90.00 90.00 90.00
Fractional positions:
Si1 0.000 0.000 0.000
As1 0.000 0.000 0.500
B1 0.000 0.500 0.000
Be1 0.500 0.500 0.500
B2 0.500 0.000 0.000

Below is a relaxed structure of BiB3As, with properties calculated at the GGA-PBEsol level.

Computed properties:
**ΔE_f**: 1.60 eV per atom
**Crystal system**: cubic
**Fermi-level density of states**: 1.7 states/eV/cell

a b c (Å): 4.207 4.207 4.207
angles (deg): 90.00 90.00 90.00
Fractional positions:
B1 0.000 0.500 0.000
As1 0.000 0.000 0.000
Bi1 0.500 0.500 0.500
B2 0.000 0.000 0.500
B3 0.500 0.000 0.000

Below is a relaxed structure of BiBMo2As, with properties calculated at the GGA-PBEsol level.

Computed properties:
**ΔE_f**: 0.68 eV per atom
**Crystal system**: tetragonal
**Fermi-level density of states**: 4.5 states/eV/cell

a b c (Å): 4.017 4.482 4.482
angles (deg): 90.00 90.00 90.00
Fractional positions:
Bi1 0.500 0.500 0.500
As1 0.500 0.000 0.000
Mo1 0.000 0.500 0.000
Mo2 0.000 0.000 0.500
B1 0.000 0.000 0.000

Below is a relaxed structure of Na2BiBAsO7, with properties calculated at the GGA-PBEsol level.

Computed properties:
**E_form (uncorrected)**: -1.5720 eV/atom
**Crystal system**: monoclinic
**Fermi-level density of states**: 4.1 states/eV/cell

a b c (Å): 5.457 7.128 9.526
angles (deg): 90.00 88.99 90.00
Fractional positions:
O1 0.262 0.750 0.050
O2 0.427 0.750 0.377
O3 0.214 0.250 0.420
O4 0.573 0.250 0.623
O5 0.993 0.250 0.159
Na1 0.267 0.502 0.207
O6 0.120 0.440 0.673
Bi1 0.193 0.750 0.632
O7 0.786 0.750 0.580
Na2 0.733 0.498 0.793
Bi2 0.807 0.250 0.368
Na3 0.733 0.002 0.793
O8 0.880 0.560 0.327
O9 0.880 0.940 0.327
O10 0.120 0.060 0.673
O11 0.439 0.750 0.828
Na4 0.267 0.998 0.207
O12 0.738 0.250 0.950
As1 0.266 0.250 0.600
O13 0.007 0.750 0.841
B1 0.226 0.750 0.911
B2 0.774 0.250 0.089
O14 0.561 0.250 0.172
As2 0.734 0.750 0.400

Below is a relaxed structure of Na6Bi2B4AsO16, with properties calculated at the GGA-PBEsol level.

Computed properties:
**E_form (uncorrected)**: -1.7745 eV/atom
**Crystal system**: cubic
**Fermi-level density of states**: 30.3 states/eV/cell

a b c (Å): 10.169 10.169 10.169
angles (deg): 60.00 60.00 60.00
Fractional positions:
O1 0.968 0.487 0.215
B1 0.971 0.343 0.343
O2 0.487 0.215 0.968
O3 0.957 0.681 0.681
O4 0.968 0.330 0.487
O5 0.763 0.282 0.920
Bi1 0.125 0.625 0.125
O6 0.330 0.968 0.215
O7 0.215 0.968 0.487
Na1 0.296 0.296 0.704
O8 0.763 0.035 0.282
O9 0.920 0.763 0.282
B2 0.279 0.907 0.907
Bi2 0.125 0.125 0.625
O10 0.215 0.487 0.330
Na2 0.704 0.296 0.296
Na3 0.546 0.546 0.954
O11 0.282 0.920 0.763
Na4 0.954 0.546 0.546
O12 0.569 0.569 0.293
O13 0.569 0.569 0.569
Na5 0.954 0.546 0.954
O14 0.681 0.681 0.681
O15 0.487 0.968 0.330
Na6 0.704 0.704 0.296
O16 0.763 0.920 0.035
Na7 0.296 0.704 0.296
As1 0.750 0.750 0.750
Na8 0.704 0.296 0.704
O17 0.330 0.487 0.968
O18 0.035 0.282 0.763
O19 0.681 0.681 0.957
O20 0.282 0.763 0.035
O21 0.035 0.920 0.282
O22 0.920 0.282 0.035
O23 0.681 0.957 0.681
O24 0.215 0.330 0.968
O25 0.035 0.763 0.920
As2 0.500 0.500 0.500
B3 0.907 0.907 0.907
O26 0.968 0.215 0.330
O27 0.293 0.569 0.569
B4 0.907 0.279 0.907
B5 0.907 0.907 0.279
O28 0.569 0.293 0.569
B6 0.343 0.343 0.343
Na9 0.296 0.704 0.704
Bi3 0.125 0.125 0.125
B7 0.343 0.971 0.343
O29 0.330 0.215 0.487
O30 0.920 0.035 0.763
B8 0.343 0.343 0.971
Na10 0.546 0.954 0.954
O31 0.487 0.330 0.215
Na11 0.546 0.954 0.546
O32 0.282 0.035 0.920
Bi4 0.625 0.125 0.125
Na12 0.954 0.954 0.546